[1]
# Cu2Ni17 PBE optimized geometry
data_Cu2Ni17
_chemical_formula_sum 'Cu6 Ni51'
_cell_length_a 8.0253
_cell_length_b 8.0253
_cell_length_c 12.0977
_cell_angle_alpha 90.00
_cell_angle_beta 90.00
_cell_angle_gamma 120.00
_symmetry_space_group_name_H-M 'R -3 m'
_symmetry_Int_Tables_number 166
_symmetry_space_group_name_Hall '-R 3 2"'
loop_
_atom_site_label
_atom_site_type_symbol
_atom_site_fract_x
_atom_site_fract_y
_atom_site_fract_z
Cu1 Cu 0.0000 0.0000 0.1797
Ni1 Ni 0.0000 0.0000 0.4018
Ni2 Ni 0.0000 0.3056 0.5000
Ni3 Ni 0.0000 0.5000 0.0000
Ni4 Ni 0.0048 0.5024 0.6520
# final energy	-307.023	eV per cell
# calculated volume	674.8	Å³/cell

---

[2]
# Cu2Ni PBE optimized geometry
data_Cu2Ni
_chemical_formula_sum 'Cu2 Ni1'
_cell_length_a 4.0988
_cell_length_b 4.0988
_cell_length_c 2.4964
_cell_angle_alpha 90.00
_cell_angle_beta 90.00
_cell_angle_gamma 90.00
_symmetry_space_group_name_H-M 'P 4/m m m'
_symmetry_Int_Tables_number 123
_symmetry_space_group_name_Hall '-P 4 2'
loop_
_atom_site_label
_atom_site_type_symbol
_atom_site_fract_x
_atom_site_fract_y
_atom_site_fract_z
Cu1 Cu 0.0000 0.5000 0.0000
Ni1 Ni 0.0000 0.0000 0.5000
# final energy	-13.006	eV per cell
# calculated volume	41.9	Å³/cell

---

[3]
# Cu4Ni3 PBE optimized geometry
data_Cu4Ni3
_chemical_formula_sum 'Cu8 Ni6'
_cell_length_a 2.8910
_cell_length_b 2.8910
_cell_length_c 19.2320
_cell_angle_alpha 90.00
_cell_angle_beta 90.00
_cell_angle_gamma 90.00
_symmetry_space_group_name_H-M 'I 4/m m m'
_symmetry_Int_Tables_number 139
_symmetry_space_group_name_Hall '-I 4 2'
loop_
_atom_site_label
_atom_site_type_symbol
_atom_site_fract_x
_atom_site_fract_y
_atom_site_fract_z
Cu1 Cu 0.0000 0.0000 0.0713
Cu2 Cu 0.0000 0.0000 0.3558
Ni1 Ni 0.0000 0.0000 0.2169
Ni2 Ni 0.0000 0.0000 0.5000
# final energy	-66.516	eV per cell
# calculated volume	160.7	Å³/cell